No. 1
First-principles (GGA-PBE) data for a geometry-optimized Pm8Sm3Y structure, as listed in the Alexandria database.

Summary:
- DFT total energy: -4.86 eV per atom
- SG: P1 (1)
- Energy relative to the elements: 0.03 eV per atom
- M_tot: 0.00 μB/cell

Lattice parameters (Å, degrees): 6.3808 8.6453 8.6683 85.38 68.43 68.52
Element x y z (fractional)
Pm 0.0000 0.0000 0.0000
Pm 0.0001 0.4991 0.5009
Pm 0.3319 0.1666 0.1688
Pm 0.3324 0.6668 0.6678
Pm 0.3335 0.7470 0.2486
Pm 0.3342 0.2466 0.7482
Pm 0.6662 0.4138 0.9157
Pm 0.6666 0.9140 0.4159
Sm 0.6675 0.8335 0.8339
Sm 0.6677 0.3325 0.3348
Sm 0.9993 0.5804 0.0822
Y 0.9995 0.0804 0.5824

***

No. 2
First-principles (GGA-PBE) data for a geometry-optimized PmSmY2 structure, as listed in the Alexandria database.

Summary:
- DFT total energy: -5.58 eV per atom
- SG: P4/mmm (123)
- Energy relative to the elements: 0.02 eV per atom
- Distance to the lowest polymorph of the same formula: 7.9 meV per atom
- M_tot: 0.00 μB/cell

Lattice parameters (Å, degrees): 5.1109 5.1109 5.0730 90.00 90.00 90.00
Element x y z (fractional)
Pm 0.0000 0.0000 0.0000
Sm 0.5000 0.5000 0.0000
Y 0.0000 0.5000 0.5000
Y 0.5000 0.0000 0.5000

***

No. 3
First-principles (GGA-PBE) data for a geometry-optimized Pm5SmY6 structure, as listed in the Alexandria database.

Summary:
- DFT total energy: -5.59 eV per atom
- SG: Immm (71)
- Energy relative to the elements: 0.02 eV per atom
- Distance to the lowest polymorph of the same formula: 4.7 meV per atom
- M_tot: 0.00 μB/cell

Lattice parameters (Å, degrees): 9.5446 9.5446 9.5446 148.90 115.73 73.12
Element x y z (fractional)
Pm 0.0000 0.0000 0.0000
Pm 0.1666 0.6666 0.5000
Pm 0.3335 0.3335 0.0000
Pm 0.6665 0.6665 0.0000
Pm 0.8334 0.3334 0.5000
Sm 0.5000 0.0000 0.5000
Y 0.0835 0.8334 0.2502
Y 0.2503 0.5000 0.7503
Y 0.4168 0.1666 0.2502
Y 0.5832 0.8334 0.7498
Y 0.7497 0.5000 0.2497
Y 0.9165 0.1666 0.7498

***

No. 4
First-principles (GGA-PBE) data for a geometry-optimized Pm6Sm2Y3 structure, as listed in the Alexandria database.

Summary:
- DFT total energy: -4.94 eV per atom
- SG: I4/mmm (139)
- Energy relative to the elements: 0.28 eV per atom
- Distance to the lowest polymorph of the same formula: 262.1 meV per atom
- M_tot: 0.00 μB/cell

Lattice parameters (Å, degrees): 17.1933 17.1933 17.1933 163.90 163.90 22.85
Element x y z (fractional)
Pm 0.1202 0.6202 0.5000
Pm 0.1951 0.1951 0.0000
Pm 0.3798 0.8798 0.5000
Pm 0.6202 0.1202 0.5000
Pm 0.8049 0.8049 0.0000
Pm 0.8798 0.3798 0.5000
Sm 0.0453 0.0453 0.0000
Sm 0.9547 0.9547 0.0000
Y 0.2982 0.2982 0.0000
Y 0.5000 0.5000 0.0000
Y 0.7018 0.7018 0.0000

***

No. 5
First-principles (GGA-PBE) data for a geometry-optimized Pm3Sm3Y structure, as listed in the Alexandria database.

Summary:
- DFT total energy: -4.84 eV per atom
- SG: P2_1/m (11)
- Energy relative to the elements: 0.15 eV per atom
- Distance to the lowest polymorph of the same formula: 123.2 meV per atom
- M_tot: 0.00 μB/cell

Lattice parameters (Å, degrees): 11.4114 3.6005 11.8640 90.00 90.01 90.00
Element x y z (fractional)
Pm 0.0036 0.2500 0.3673
Pm 0.0499 0.2500 0.8897
Pm 0.4501 0.2500 0.8892
Pm 0.5499 0.7500 0.1108
Pm 0.9501 0.7500 0.1103
Pm 0.9964 0.7500 0.6327
Sm 0.2505 0.7500 0.4307
Sm 0.2509 0.2500 0.1477
Sm 0.2511 0.2500 0.6856
Sm 0.7489 0.7500 0.3144
Sm 0.7491 0.7500 0.8523
Sm 0.7495 0.2500 0.5693
Y 0.4969 0.2500 0.3689
Y 0.5031 0.7500 0.6311

***

No. 6
First-principles (GGA-PBE) data for a geometry-optimized Pm5Sm4Y2 structure, as listed in the Alexandria database.

Summary:
- DFT total energy: -4.94 eV per atom
- SG: C2/m (12)
- Energy relative to the elements: 0.12 eV per atom
- Distance to the lowest polymorph of the same formula: 0.0 meV per atom
- M_tot: 0.00 μB/cell

Lattice parameters (Å, degrees): 6.7451 6.7451 9.3170 103.43 103.43 67.00
Element x y z (fractional)
Pm 0.0000 0.0000 0.0000
Pm 0.2115 0.6493 0.7306
Pm 0.3507 0.7885 0.2694
Pm 0.6493 0.2115 0.7306
Pm 0.7885 0.3507 0.2694
Sm 0.3061 0.3061 0.0034
Sm 0.3324 0.3324 0.3818
Sm 0.6676 0.6676 0.6182
Sm 0.6939 0.6939 0.9966
Y 0.1426 0.1426 0.6232
Y 0.8574 0.8574 0.3768

***

No. 7
First-principles (GGA-PBE) data for a geometry-optimized Pm5Sm2Y2 structure, as listed in the Alexandria database.

Summary:
- DFT total energy: -5.08 eV per atom
- SG: C2/m (12)
- Energy relative to the elements: 0.05 eV per atom
- Distance to the lowest polymorph of the same formula: 0.0 meV per atom
- M_tot: 0.00 μB/cell

Lattice parameters (Å, degrees): 8.9741 8.9741 9.8769 99.68 99.68 22.92
Element x y z (fractional)
Pm 0.0000 0.0000 0.0000
Pm 0.1577 0.1577 0.5409
Pm 0.3364 0.3364 0.7806
Pm 0.6636 0.6636 0.2194
Pm 0.8423 0.8423 0.4591
Sm 0.3225 0.3225 0.1207
Sm 0.6775 0.6775 0.8793
Y 0.4971 0.4971 0.3302
Y 0.5029 0.5029 0.6698

***

No. 8
First-principles (GGA-PBE) data for a geometry-optimized Pm2Sm7Y structure, as listed in the Alexandria database.

Summary:
- DFT total energy: -4.88 eV per atom
- SG: P-1 (2)
- Energy relative to the elements: 0.02 eV per atom
- Distance to the lowest polymorph of the same formula: 0.0 meV per atom
- M_tot: 0.00 μB/cell

Lattice parameters (Å, degrees): 6.2821 6.2877 9.5989 102.54 109.08 99.61
Element x y z (fractional)
Pm 0.1997 0.4994 0.3997
Pm 0.8003 0.5006 0.6003
Sm 0.0000 0.0000 0.5000
Sm 0.1999 0.0002 0.9003
Sm 0.4004 0.9996 0.2993
Sm 0.4006 0.5005 0.8011
Sm 0.5994 0.4995 0.1989
Sm 0.5996 0.0004 0.7007
Sm 0.8001 0.9998 0.0997
Y 0.0000 0.5000 0.0000

***

No. 9
First-principles (GGA-PBE) data for a geometry-optimized PmSm7Y12 structure, as listed in the Alexandria database.

Summary:
- DFT total energy: -5.50 eV per atom
- SG: R-3 (148)
- Energy relative to the elements: 0.27 eV per atom
- Distance to the lowest polymorph of the same formula: 0.0 meV per atom
- M_tot: 0.00 μB/cell

Lattice parameters (Å, degrees): 8.7731 8.7731 8.7731 95.17 95.17 95.17
Element x y z (fractional)
Pm 0.0000 0.0000 0.0000
Sm 0.0205 0.0853 0.3550
Sm 0.0853 0.3550 0.0205
Sm 0.3550 0.0205 0.0853
Sm 0.5000 0.5000 0.5000
Sm 0.6450 0.9795 0.9147
Sm 0.9147 0.6450 0.9795
Sm 0.9795 0.9147 0.6450
Y 0.1482 0.4164 0.4818
Y 0.1850 0.7496 0.3157
Y 0.2504 0.6843 0.8150
Y 0.3157 0.1850 0.7496
Y 0.4164 0.4818 0.1482
Y 0.4818 0.1482 0.4164
Y 0.5182 0.8518 0.5836
Y 0.5836 0.5182 0.8518
Y 0.6843 0.8150 0.2504
Y 0.7496 0.3157 0.1850
Y 0.8150 0.2504 0.6843
Y 0.8518 0.5836 0.5182

***

No. 10
First-principles (GGA-PBE) data for a geometry-optimized Pm5Sm2Y structure, as listed in the Alexandria database.

Summary:
- DFT total energy: -4.81 eV per atom
- SG: C2/c (15)
- Energy relative to the elements: 0.15 eV per atom
- Distance to the lowest polymorph of the same formula: 23.0 meV per atom
- M_tot: 0.00 μB/cell

Lattice parameters (Å, degrees): 9.7329 9.7329 6.6547 98.77 98.77 62.55
Element x y z (fractional)
Pm 0.0595 0.9405 0.7500
Pm 0.1144 0.2892 0.0246
Pm 0.2892 0.1144 0.5246
Pm 0.3111 0.4930 0.8504
Pm 0.4930 0.3111 0.3504
Pm 0.5070 0.6889 0.6496
Pm 0.6889 0.5070 0.1496
Pm 0.7108 0.8856 0.4754
Pm 0.8856 0.7108 0.9754
Pm 0.9405 0.0595 0.2500
Sm 0.1759 0.6644 0.3711
Sm 0.3356 0.8241 0.1289
Sm 0.6644 0.1759 0.8711
Sm 0.8241 0.3356 0.6289
Y 0.0000 0.5000 0.5000
Y 0.5000 0.0000 0.0000

***

No. 11
First-principles (GGA-PBE) data for a geometry-optimized Pm7SmY12 structure, as listed in the Alexandria database.

Summary:
- DFT total energy: -5.54 eV per atom
- SG: R-3 (148)
- Energy relative to the elements: 0.23 eV per atom
- Distance to the lowest polymorph of the same formula: 0.0 meV per atom
- M_tot: 0.00 μB/cell

Lattice parameters (Å, degrees): 8.8425 8.8425 8.8425 86.13 86.13 86.13
Element x y z (fractional)
Pm 0.0000 0.0000 0.0000
Pm 0.1031 0.4258 0.3459
Pm 0.3459 0.1031 0.4258
Pm 0.4258 0.3459 0.1031
Pm 0.5742 0.6541 0.8969
Pm 0.6541 0.8969 0.5742
Pm 0.8969 0.5742 0.6541
Sm 0.5000 0.5000 0.5000
Y 0.0029 0.8825 0.3646
Y 0.1175 0.6354 0.9971
Y 0.2275 0.3545 0.7569
Y 0.2431 0.7725 0.6455
Y 0.3545 0.7569 0.2275
Y 0.3646 0.0029 0.8825
Y 0.6354 0.9971 0.1175
Y 0.6455 0.2431 0.7725
Y 0.7569 0.2275 0.3545
Y 0.7725 0.6455 0.2431
Y 0.8825 0.3646 0.0029
Y 0.9971 0.1175 0.6354

***

No. 12
First-principles (GGA-PBE) data for a geometry-optimized PmSm12Y2 structure, as listed in the Alexandria database.

Summary:
- DFT total energy: -4.80 eV per atom
- SG: Cmme (67)
- Energy relative to the elements: 0.15 eV per atom
- M_tot: 0.00 μB/cell

Lattice parameters (Å, degrees): 6.7879 6.7879 24.8728 90.00 90.00 116.24
Element x y z (fractional)
Pm 0.2500 0.7500 0.9991
Pm 0.7500 0.2500 0.0009
Sm 0.0015 0.5015 0.8696
Sm 0.0020 0.9980 0.0766
Sm 0.0179 0.5179 0.4149
Sm 0.0226 0.9774 0.5602
Sm 0.2500 0.2500 0.1999
Sm 0.2500 0.2500 0.3260
Sm 0.2500 0.2500 0.6740
Sm 0.2500 0.2500 0.8001
Sm 0.4774 0.5226 0.5602
Sm 0.4821 0.9821 0.4149
Sm 0.4980 0.5020 0.0766
Sm 0.4985 0.9985 0.8696
Sm 0.5015 0.0015 0.1304
Sm 0.5020 0.4980 0.9234
Sm 0.5179 0.0179 0.5851
Sm 0.5226 0.4774 0.4398
Sm 0.7500 0.7500 0.1999
Sm 0.7500 0.7500 0.3260
Sm 0.7500 0.7500 0.6740
Sm 0.7500 0.7500 0.8001
Sm 0.9774 0.0226 0.4398
Sm 0.9821 0.4821 0.5851
Sm 0.9980 0.0020 0.9234
Sm 0.9985 0.4985 0.1304
Y 0.2500 0.7500 0.2669
Y 0.2500 0.7500 0.7286
Y 0.7500 0.2500 0.2714
Y 0.7500 0.2500 0.7331